Entry 1:
Computed, not measured: a relaxed structure of BaCa2LaRh at the PBE-GGA level of DFT.

Values from the calculation:
Formation energy from the elements   -27.4 kJ/mol of atoms
Polymorph energy (0 for the lowest one)   0.0 kJ/mol of atoms
Final energy   -3.925 eV/atom

```
data_BaCa2LaRh
_chemical_formula_sum 'Ba1 Ca2 La1 Rh1'
_symmetry_space_group_name_H-M 'P 4/m m m'
_symmetry_Int_Tables_number 123
_symmetry_space_group_name_Hall '-P 4 2'
_cell_length_a 5.8752
_cell_length_b 5.8752
_cell_length_c 5.4918
_cell_angle_alpha 90.00
_cell_angle_beta 90.00
_cell_angle_gamma 90.00
loop_
_atom_site_label
_atom_site_fract_x
_atom_site_fract_y
_atom_site_fract_z
_atom_site_occupancy
Ba1 0.0000 0.0000 0.0000 1
Ca1 0.0000 0.5000 0.5000 1
La1 0.5000 0.5000 0.0000 1
Rh1 0.5000 0.5000 0.5000 1
```

***

Entry 2:
Computed, not measured: a relaxed structure of UHgPt6 at the PBE-GGA level of DFT.

Values from the calculation:
Formation energy from the elements   -44.1 kJ/mol of atoms
Final energy   -6.436 eV/atom

```
data_UHgPt6
_chemical_formula_sum 'U1 Hg1 Pt6'
_symmetry_space_group_name_H-M 'P 4/m m m'
_symmetry_Int_Tables_number 123
_symmetry_space_group_name_Hall '-P 4 2'
_cell_length_a 4.1348
_cell_length_b 4.1348
_cell_length_c 8.1039
_cell_angle_alpha 90.00
_cell_angle_beta 90.00
_cell_angle_gamma 90.00
loop_
_atom_site_label
_atom_site_fract_x
_atom_site_fract_y
_atom_site_fract_z
_atom_site_occupancy
U1 0.0000 0.0000 0.0000 1
Hg1 0.0000 0.0000 0.5000 1
Pt1 0.0000 0.5000 0.2411 1
Pt2 0.5000 0.5000 0.0000 1
Pt3 0.5000 0.5000 0.5000 1
```

***

Entry 3:
Computed, not measured: a relaxed structure of MgSnB at the PBE-GGA level of DFT.

Values from the calculation:
Formation energy from the elements   16.6 kJ/mol of atoms
Polymorph energy (0 for the lowest one)   10.2 kJ/mol of atoms
Final energy   -3.920 eV/atom

```
data_MgSnB
_chemical_formula_sum 'Mg4 Sn4 B4'
_symmetry_space_group_name_H-M 'I m m m'
_symmetry_Int_Tables_number 71
_symmetry_space_group_name_Hall '-I 2 2'
_cell_length_a 3.7321
_cell_length_b 5.0773
_cell_length_c 11.9547
_cell_angle_alpha 90.00
_cell_angle_beta 90.00
_cell_angle_gamma 90.00
loop_
_atom_site_label
_atom_site_fract_x
_atom_site_fract_y
_atom_site_fract_z
_atom_site_occupancy
Mg1 0.0000 0.0000 0.1224 1
Sn1 0.0000 0.0000 0.3638 1
B1 0.0000 0.3401 0.5000 1
```

***

Entry 4:
Computed, not measured: a relaxed structure of RbGaSnSb at the PBE-GGA level of DFT.

Values from the calculation:
Raw formation energy   -169 meV per atom
Final energy   -3.199 eV/atom

```
data_RbGaSnSb
_chemical_formula_sum 'Rb2 Ga2 Sn2 Sb2'
_symmetry_space_group_name_H-M 'P 4/n m m'
_symmetry_Int_Tables_number 129
_cell_length_a 4.5346
_cell_length_b 4.5346
_cell_length_c 14.0994
_cell_angle_alpha 90.00
_cell_angle_beta 90.00
_cell_angle_gamma 90.00
loop_
_symmetry_equiv_pos_as_xyz
'x,y,z'
'-x,-y,-z'
'-y+1/2,x,z'
'y+1/2,-x,-z'
'-x+1/2,-y+1/2,z'
'x+1/2,y+1/2,-z'
'y,-x+1/2,z'
'-y,x+1/2,-z'
'x+1/2,-y,-z'
'-x+1/2,y,z'
'-y,-x,-z'
'y,x,z'
'-x,y+1/2,-z'
'x,-y+1/2,z'
'y+1/2,x+1/2,-z'
'-y+1/2,-x+1/2,z'
loop_
_atom_site_label
_atom_site_fract_x
_atom_site_fract_y
_atom_site_fract_z
_atom_site_occupancy
Rb1 0.2500 0.2500 0.2334 1
Ga1 0.2500 0.7500 0.5000 1
Sn1 0.2500 0.7500 0.0000 1
Sb1 0.2500 0.2500 0.6148 1
```

***

Entry 5:
Computed, not measured: a relaxed structure of Ba2Ga3HgPt4 at the PBE-GGA level of DFT.

Values from the calculation:
Formation energy from the elements   -68.7 kJ/mol of atoms
Final energy   -4.451 eV/atom

```
data_Ba2Ga3HgPt4
_chemical_formula_sum 'Ba2 Ga3 Hg1 Pt4'
_symmetry_space_group_name_H-M 'P -4 m 2'
_symmetry_Int_Tables_number 115
_cell_length_a 4.5931
_cell_length_b 4.5931
_cell_length_c 10.6235
_cell_angle_alpha 90.00
_cell_angle_beta 90.00
_cell_angle_gamma 90.00
loop_
_symmetry_equiv_pos_as_xyz
'x,y,z'
'y,-x,-z'
'-x,-y,z'
'-y,x,-z'
'-x,y,z'
'-y,-x,-z'
'x,-y,z'
'y,x,-z'
loop_
_atom_site_label
_atom_site_fract_x
_atom_site_fract_y
_atom_site_fract_z
_atom_site_occupancy
Ba1 0.0000 0.5000 0.2435 1
Ga1 0.0000 0.5000 0.8864 1
Ga2 0.5000 0.5000 0.5000 1
Hg1 0.0000 0.0000 0.5000 1
Pt1 0.0000 0.0000 0.0000 1
Pt2 0.0000 0.5000 0.6462 1
Pt3 0.5000 0.5000 0.0000 1
```

***

What did the first record say?
Computed, not measured: a relaxed structure of BaCa2LaRh at the PBE-GGA level of DFT.

Values from the calculation:
Formation energy from the elements   -27.4 kJ/mol of atoms
Polymorph energy (0 for the lowest one)   0.0 kJ/mol of atoms
Final energy   -3.925 eV/atom

```
data_BaCa2LaRh
_chemical_formula_sum 'Ba1 Ca2 La1 Rh1'
_symmetry_space_group_name_H-M 'P 4/m m m'
_symmetry_Int_Tables_number 123
_symmetry_space_group_name_Hall '-P 4 2'
_cell_length_a 5.8752
_cell_length_b 5.8752
_cell_length_c 5.4918
_cell_angle_alpha 90.00
_cell_angle_beta 90.00
_cell_angle_gamma 90.00
loop_
_atom_site_label
_atom_site_fract_x
_atom_site_fract_y
_atom_site_fract_z
_atom_site_occupancy
Ba1 0.0000 0.0000 0.0000 1
Ca1 0.0000 0.5000 0.5000 1
La1 0.5000 0.5000 0.0000 1
Rh1 0.5000 0.5000 0.5000 1
```

***

Q: Look up the final energy of the fourth one.
A: -3.199 eV/atom